VASP calculation (PBE) on a relaxed structure of CsNbCl3.

- total magnetic moment (μB per cell) = 3.00
- raw total energy (eV per atom) = -4.49
- energy above the lowest structure with this stoichiometry (meV/atom) = 7

Cell and atoms, written as POSCAR:
```
CsNbCl3
1.0
5.198 0.000 0.000
0.000 5.198 0.000
0.000 0.000 5.234
Cl Cs Nb
3 1 1
Direct
0.500 0.500 0.066
0.500 0.000 0.593
0.000 0.500 0.593
0.000 0.000 0.089
0.500 0.500 0.559
```